A relaxed RbSc2AlTc crystal, computed with GGA-PBE.

Output
formation enthalpy at 0 K	212	meV/atom
total magnetic moment	0.000	μB per atom
density	3.7	g/cm3

Lattice parameters (Å, degrees): 5.1181 5.1181 5.1592 90.00 90.00 90.00
Atoms (fractional coordinates):
Rb (0.0000, 0.0000, 0.0000)
Sc (0.0000, 0.5000, 0.5000)
Sc (0.5000, 0.0000, 0.5000)
Al (0.5000, 0.5000, 0.0000)
Tc (0.5000, 0.5000, 0.5000)


A relaxed Rb3Sc3AlTe8 crystal, computed with GGA-PBE.

Output
formation energy (no corrections)	-1.02	eV/atom
total magnetic moment	0.000	μB per atom
density	4.5	g/cm3

Lattice parameters (Å, degrees): 8.3691 8.3691 10.0801 114.62 114.62 59.89
Atoms (fractional coordinates):
Rb (0.0000, 0.0000, 0.0000)
Rb (0.0000, 0.5000, 0.0000)
Rb (0.5000, 0.0000, 0.0000)
Sc (0.0000, 0.5000, 0.5000)
Sc (0.5000, 0.0000, 0.5000)
Sc (0.5000, 0.5000, 0.5000)
Al (0.0000, 0.0000, 0.5000)
Te (0.2244, 0.7356, 0.6845)
Te (0.2246, 0.2246, 0.6846)
Te (0.2644, 0.7756, 0.3155)
Te (0.2694, 0.2694, 0.3085)
Te (0.7306, 0.7306, 0.6915)
Te (0.7356, 0.2244, 0.6845)
Te (0.7754, 0.7754, 0.3154)
Te (0.7756, 0.2644, 0.3155)


A relaxed RbScAlTl2 crystal, computed with GGA-PBE.

Output
formation enthalpy at 0 K	269	meV/atom
total magnetic moment	0.000	μB per atom
density	5.1	g/cm3

Lattice parameters (Å, degrees): 5.7697 5.7697 5.5432 90.00 90.00 90.00
Atoms (fractional coordinates):
Rb (0.0000, 0.0000, 0.0000)
Sc (0.5000, 0.5000, 0.5000)
Al (0.5000, 0.5000, 0.0000)
Tl (0.0000, 0.5000, 0.5000)
Tl (0.5000, 0.0000, 0.5000)


A relaxed RbAl3Se crystal, computed with GGA-PBE.

Output
formation energy (no corrections)	0.51	eV/atom
total magnetic moment	0.000	μB per atom
density	2.5	g/cm3

Lattice parameters (Å, degrees): 5.4366 5.4366 5.4366 90.00 90.00 90.00
Atoms (fractional coordinates):
Rb (0.0000, 0.0000, 0.0000)
Al (0.0000, 0.5000, 0.5000)
Al (0.5000, 0.0000, 0.5000)
Al (0.5000, 0.5000, 0.0000)
Se (0.5000, 0.5000, 0.5000)


A relaxed RbAl2Se crystal, computed with GGA-PBE.

Output
formation energy (no corrections)	0.02	eV/atom
total magnetic moment	0.000	μB per atom
density	3.0	g/cm3

Lattice parameters (Å, degrees): 6.8669 6.8669 6.8669 102.99 102.99 123.41
Atoms (fractional coordinates):
Rb (0.0000, 0.0000, 0.0000)
Rb (0.7500, 0.2500, 0.5000)
Al (0.1875, 0.6250, 0.0625)
Al (0.3750, 0.4375, 0.5625)
Al (0.5625, 0.1250, 0.9375)
Al (0.8750, 0.8125, 0.4375)
Se (0.2500, 0.7500, 0.5000)
Se (0.5000, 0.5000, 0.0000)


A relaxed RbAl2Se2 crystal, computed with GGA-PBE.

Output
formation energy (no corrections)	-0.40	eV/atom
total magnetic moment	0.000	μB per atom
density	3.1	g/cm3

Lattice parameters (Å, degrees): 7.1912 7.1912 7.1912 139.09 139.09 59.23
Atoms (fractional coordinates):
Rb (0.0000, 0.0000, 0.0000)
Al (0.2500, 0.7500, 0.5000)
Al (0.7500, 0.2500, 0.5000)
Se (0.3268, 0.3268, 0.0000)
Se (0.6732, 0.6732, 0.0000)


A relaxed RbAl2Se2 crystal, computed with GGA-PBE.

Output
formation energy (no corrections)	-0.55	eV/atom
total magnetic moment	0.000	μB per atom
density	4.0	g/cm3

Lattice parameters (Å, degrees): 6.0158 6.0158 6.0158 129.98 129.98 73.44
Atoms (fractional coordinates):
Rb (0.0000, 0.0000, 0.0000)
Al (0.3521, 0.3521, 0.0000)
Al (0.6479, 0.6479, 0.0000)
Se (0.2500, 0.7500, 0.5000)
Se (0.7500, 0.2500, 0.5000)


A relaxed RbAl3Se crystal, computed with GGA-PBE.

Output
formation energy (no corrections)	1.58	eV/atom
total magnetic moment	0.000	μB per atom
density	1.9	g/cm3

Lattice parameters (Å, degrees): 6.0139 6.0139 6.0139 90.00 90.00 90.00
Atoms (fractional coordinates):
Rb (0.0000, 0.0000, 0.0000)
Al (0.0000, 0.0000, 0.5000)
Al (0.0000, 0.5000, 0.0000)
Al (0.5000, 0.0000, 0.0000)
Se (0.5000, 0.5000, 0.5000)